No. 1
# Hf2ScRh

Hf2ScRh after structural relaxation (PBE-GGA, Alexandria).

SG: Cmcm, No. 63
Energy of formation (meV per atom): -436

Cell: 3.392 5.758 8.896 Å, 90.00 90.00 107.12°
Fractional coordinates of all 8 atoms:
Hf  0.636  0.272  0.054
Sc  0.063  0.126  0.750
Sc  0.937  0.874  0.250
Rh  0.771  0.542  0.750
Hf  0.636  0.272  0.446
Rh  0.229  0.458  0.250
Hf  0.364  0.728  0.946
Hf  0.364  0.728  0.554

=====

No. 2
# HfSc2Rh3

HfSc2Rh3 after structural relaxation (PBE-GGA, Alexandria).

SG: Cmmm, No. 65
Energy above the most stable polymorph in this dataset (eV per atom): 0.000
Energy of formation (meV per atom): -993

Cell: 3.331 4.537 7.159 Å, 108.48 90.00 90.00°
Fractional coordinates of all 6 atoms:
Rh  0.500  0.837  0.674
Sc  0.000  0.331  0.663
Rh  0.500  0.163  0.326
Hf  0.000  0.000  0.000
Sc  0.000  0.669  0.337
Rh  0.500  0.500  0.000

=====

No. 3
# HfSc2Rh4

HfSc2Rh4 after structural relaxation (PBE-GGA, Alexandria).

SG: I4/mmm, No. 139
Energy of formation (meV per atom): -638

Cell: 5.455 5.455 5.455 Å, 110.29 109.06 109.06°
Fractional coordinates of all 7 atoms:
Hf  0.000  0.000  0.000
Rh  0.500  0.000  0.000
Sc  0.500  0.500  0.000
Rh  0.000  0.500  0.000
Sc  0.500  0.000  0.500
Rh  0.000  0.000  0.500
Rh  0.500  0.500  0.500

=====

No. 4
# HfScRh2

HfScRh2 after structural relaxation (PBE-GGA, Alexandria).

SG: I-42d, No. 122
Energy above the most stable polymorph in this dataset (eV per atom): 0.467
Energy of formation (meV per atom): -499

Cell: 7.017 7.017 5.803 Å, 52.80 52.80 90.00°
Fractional coordinates of all 8 atoms:
Hf  0.000  0.000  0.000
Rh  0.121  0.625  0.250
Hf  0.750  0.250  0.500
Sc  0.500  0.500  0.000
Rh  0.375  0.371  0.750
Rh  0.629  0.125  0.250
Rh  0.875  0.879  0.750
Sc  0.250  0.750  0.500

=====

No. 5
# HfScRh2

HfScRh2 after structural relaxation (PBE-GGA, Alexandria).

SG: P4/mmm, No. 123
Energy above the most stable polymorph in this dataset (eV per atom): 0.000
Energy of formation (meV per atom): -965

Cell: 3.245 3.245 6.563 Å, 90.00 90.00 90.00°
Fractional coordinates of all 4 atoms:
Hf  0.500  0.500  0.000
Sc  0.500  0.500  0.500
Rh  0.000  0.000  0.756
Rh  0.000  0.000  0.244

=====

No. 6
# HfScRh4

HfScRh4 after structural relaxation (PBE-GGA, Alexandria).

SG: P4/mmm, No. 123
Energy above the most stable polymorph in this dataset (eV per atom): 0.380
Energy of formation (meV per atom): -264

Cell: 4.222 4.225 6.207 Å, 89.98 90.00 90.00°
Fractional coordinates of all 6 atoms:
Rh  0.501  0.997  0.248
Sc  0.001  0.997  0.498
Rh  0.001  0.497  0.248
Hf  0.501  0.497  0.998
Rh  0.001  0.497  0.748
Rh  0.501  0.997  0.748

=====

No. 7
# Hf2ScRh

Hf2ScRh after structural relaxation (PBE-GGA, Alexandria).

SG: R3m, No. 160
Energy of formation (meV per atom): -224

Cell: 3.228 3.228 9.360 Å, 80.07 80.07 60.00°
Fractional coordinates of all 4 atoms:
Sc  0.500  0.500  0.501
Hf  0.073  0.073  0.780
Hf  0.260  0.260  0.220
Rh  0.667  0.667  0.000

=====

No. 8
# HfScRh4

HfScRh4 after structural relaxation (PBE-GGA, Alexandria).

SG: F-43m, No. 216
Energy above the most stable polymorph in this dataset (eV per atom): 0.000
Energy of formation (meV per atom): -644

Cell: 5.194 5.194 5.194 Å, 60.00 60.00 60.00°
Fractional coordinates of all 6 atoms:
Rh  0.126  0.625  0.625
Rh  0.625  0.625  0.625
Sc  0.250  0.250  0.250
Rh  0.625  0.126  0.625
Hf  0.000  0.000  0.000
Rh  0.625  0.625  0.126

=====

No. 9
# HfSc2Rh

HfSc2Rh after structural relaxation (PBE-GGA, Alexandria).

SG: P4/mmm, No. 123
Energy above the most stable polymorph in this dataset (eV per atom): 0.033
Energy of formation (meV per atom): -442

Cell: 3.248 3.248 7.575 Å, 90.00 90.00 90.00°
Fractional coordinates of all 4 atoms:
Hf  0.500  0.500  0.500
Sc  0.000  0.000  0.210
Sc  0.000  0.000  0.790
Rh  0.500  0.500  0.000

=====

No. 10
# HfSc2Rh

HfSc2Rh after structural relaxation (PBE-GGA, Alexandria).

SG: I-42d, No. 122
Energy above the most stable polymorph in this dataset (eV per atom): 0.333
Energy of formation (meV per atom): -142

Cell: 7.773 7.773 6.190 Å, 51.11 51.11 90.00°
Fractional coordinates of all 8 atoms:
Sc  0.375  0.433  0.750
Hf  0.750  0.250  0.500
Hf  0.000  0.000  0.000
Rh  0.500  0.500  0.000
Rh  0.250  0.750  0.500
Sc  0.875  0.817  0.750
Sc  0.183  0.625  0.250
Sc  0.567  0.125  0.250

=====

No. 11
# Hf4ScRh5

Hf4ScRh5 after structural relaxation (PBE-GGA, Alexandria).

SG: P4/mmm, No. 123
Energy of formation (meV per atom): -913

Cell: 3.274 3.274 16.217 Å, 90.00 90.00 90.00°
Fractional coordinates of all 10 atoms:
Hf  0.000  0.000  0.400
Rh  0.500  0.500  0.898
Rh  0.500  0.500  0.701
Rh  0.500  0.500  0.102
Hf  0.000  0.000  0.198
Rh  0.500  0.500  0.500
Sc  0.000  0.000  0.000
Hf  0.000  0.000  0.802
Hf  0.000  0.000  0.600
Rh  0.500  0.500  0.299

=====

No. 12
# HfSc2Rh

HfSc2Rh after structural relaxation (PBE-GGA, Alexandria).

SG: Fm-3m, No. 225
Energy above the most stable polymorph in this dataset (eV per atom): 0.341
Energy of formation (meV per atom): -133

Cell: 4.801 4.801 4.801 Å, 60.00 60.00 60.00°
Last column: magnetic moment on the atom in μB.
Fractional coordinates of all 4 atoms:
Rh  0.000  0.000  0.000  0.02
Hf  0.500  0.500  0.500  0.78
Sc  0.250  0.250  0.250  0.33
Sc  0.750  0.750  0.750  0.33

=====

What did the twelfth record say?
# HfSc2Rh

HfSc2Rh after structural relaxation (PBE-GGA, Alexandria).

SG: Fm-3m, No. 225
Energy above the most stable polymorph in this dataset (eV per atom): 0.341
Energy of formation (meV per atom): -133

Cell: 4.801 4.801 4.801 Å, 60.00 60.00 60.00°
Last column: magnetic moment on the atom in μB.
Fractional coordinates of all 4 atoms:
Rh  0.000  0.000  0.000  0.02
Hf  0.500  0.500  0.500  0.78
Sc  0.250  0.250  0.250  0.33
Sc  0.750  0.750  0.750  0.33